The following is a DFT calculation (PBE) of crystalline PmNpPt2 at its relaxed geometry.

Cell: 5.0094 5.0094 5.0094 Å, 60.00 60.00 60.00°
Last column: nearest neighbours and their distance in Å.
Element x y z (fractional)
Pm: 0.5000 0.5000 0.5000  8 Pt 3.07
Pt: 0.7500 0.7500 0.7500  4 Pm 3.07, 4 Np 3.07
Np: 0.0000 0.0000 0.0000  8 Pt 3.07
Pt: 0.2500 0.2500 0.2500  4 Np 3.07, 4 Pm 3.07

Formation energy: -67 kJ/mol of atoms
Magnetization: 4.346 μB/cell
SG: Fm-3m, No. 225
Energy relative to the lowest polymorph listed for this composition: 38.3 meV per atom



The following is a DFT calculation (PBE) of crystalline LaInSnHg at its relaxed geometry.

Cell: 4.6805 4.7259 4.9198 Å, 90.00 90.00 90.00°
Last column: nearest neighbours and their distance in Å.
Element x y z (fractional)
La: 0.5000 0.5000 0.0000  4 Sn 3.33, 4 Hg 3.40, 4 In 3.41
In: 0.5000 0.0000 0.5000  4 Hg 3.33, 4 Sn 3.40, 4 La 3.41
Hg: 0.0000 0.5000 0.5000  4 In 3.33, 4 La 3.40, 4 Sn 3.41
Sn: 0.0000 0.0000 0.0000  4 La 3.33, 4 In 3.40, 4 Hg 3.41

Formation energy: -50 kJ/mol of atoms
Magnetization: 0.000 μB/cell
SG: Pmmm, No. 47
Energy relative to the lowest polymorph listed for this composition: 0.0 meV per atom



The following is a DFT calculation (PBE) of crystalline Sm4SiAs2Se at its relaxed geometry.

Cell: 4.1909 7.2907 7.3060 Å, 70.72 90.00 90.00°
Last column: nearest neighbours and their distance in Å.
Element x y z (fractional)
Sm: 0.5000 0.2493 0.7473  3 As 2.96-2.98, 2 Si 2.97, 1 Se 3.00
As: 0.0000 0.0000 0.0000  6 Sm 2.98-3.00
Se: 0.5000 0.5000 0.0000  6 Sm 3.00-3.01
Si: 0.0000 0.5000 0.5000  6 Sm 2.95-2.97
Sm: 0.5000 0.7507 0.2527  3 As 2.96-2.98, 2 Si 2.97, 1 Se 3.00
As: 0.5000 0.0000 0.5000  6 Sm 2.94-2.96
Sm: 0.0000 0.2458 0.2582  3 As 2.94-3.00, 1 Si 2.95, 2 Se 3.01
Sm: 0.0000 0.7542 0.7418  3 As 2.94-3.00, 1 Si 2.95, 2 Se 3.01

Magnetization: 0.000 μB/cell
SG: P2/m, No. 10
Formation energy (no corrections): -32.80 kcal/mol of atoms



The following is a DFT calculation (PBE) of crystalline Si2PI2 at its relaxed geometry.

Cell: 5.7217 5.7217 7.3778 Å, 67.18 67.18 90.00°
Last column: nearest neighbours and their distance in Å.
Element x y z (fractional)
I: 0.7500 0.2500 0.5000  4 Si 3.02
Si: 0.1721 0.1721 0.6558  1 P 2.12
Si: 0.8279 0.8279 0.3442  1 P 2.12
I: 0.2500 0.7500 0.5000  4 Si 3.02
P: 0.0000 0.0000 0.0000  2 Si 2.12

Magnetization: 0.000 μB/cell
SG: I4/mmm, No. 139
Formation energy (no corrections): 12.15 kcal/mol of atoms



Please write out number 1 again, unchanged.
The following is a DFT calculation (PBE) of crystalline PmNpPt2 at its relaxed geometry.

Cell: 5.0094 5.0094 5.0094 Å, 60.00 60.00 60.00°
Last column: nearest neighbours and their distance in Å.
Element x y z (fractional)
Pm: 0.5000 0.5000 0.5000  8 Pt 3.07
Pt: 0.7500 0.7500 0.7500  4 Pm 3.07, 4 Np 3.07
Np: 0.0000 0.0000 0.0000  8 Pt 3.07
Pt: 0.2500 0.2500 0.2500  4 Np 3.07, 4 Pm 3.07

Formation energy: -67 kJ/mol of atoms
Magnetization: 4.346 μB/cell
SG: Fm-3m, No. 225
Energy relative to the lowest polymorph listed for this composition: 38.3 meV per atom



Copy entry 4 word for word.
The following is a DFT calculation (PBE) of crystalline Si2PI2 at its relaxed geometry.

Cell: 5.7217 5.7217 7.3778 Å, 67.18 67.18 90.00°
Last column: nearest neighbours and their distance in Å.
Element x y z (fractional)
I: 0.7500 0.2500 0.5000  4 Si 3.02
Si: 0.1721 0.1721 0.6558  1 P 2.12
Si: 0.8279 0.8279 0.3442  1 P 2.12
I: 0.2500 0.7500 0.5000  4 Si 3.02
P: 0.0000 0.0000 0.0000  2 Si 2.12

Magnetization: 0.000 μB/cell
SG: I4/mmm, No. 139
Formation energy (no corrections): 12.15 kcal/mol of atoms



Q: Look up the magnetization of the first one.
A: 4.346 μB/cell